[1]
Below is ZnAsPO2 after structural relaxation, with properties calculated at the GGA-PBE level.

Values from the calculation:
* symmetry: P4/mmm, No. 123
* Fermi-level density of states: 1.68 states/eV/f.u.
* relative energy among the computed polymorphs: 0.00 kJ per mole of atoms
* total magnetic moment: 0.0 μB per formula unit

Structure (POSCAR):
```
ZnAsPO2
1.0
3.6731 0.0000 0.0000
0.0000 3.6731 0.0000
0.0000 0.0000 5.0900
Zn As P O
1 1 1 2
Direct
0.0000 0.0000 0.0000
0.5000 0.5000 0.5000
0.5000 0.5000 0.0000
0.0000 0.5000 0.5000
0.5000 0.0000 0.5000
```

[2]
Below is ZnAsPO2 after structural relaxation, with properties calculated at the GGA-PBE level.

Values from the calculation:
* symmetry: P4/mmm, No. 123
* Fermi-level density of states: 2.41 states/eV/f.u.
* relative energy among the computed polymorphs: 47.07 kJ per mole of atoms
* total magnetic moment: 0.0 μB per formula unit

Structure (POSCAR):
```
ZnAsPO2
1.0
3.7963 0.0000 0.0000
0.0000 3.7963 0.0000
0.0000 0.0000 4.8934
Zn As P O
1 1 1 2
Direct
0.0000 0.0000 0.0000
0.5000 0.5000 0.5000
0.0000 0.0000 0.5000
0.0000 0.5000 0.0000
0.5000 0.0000 0.0000
```

[3]
Below is ZrAsP2O after structural relaxation, with properties calculated at the GGA-PBE level.

Values from the calculation:
* symmetry: P4/mmm, No. 123
* Fermi-level density of states: 3.29 states/eV/f.u.
* relative energy among the computed polymorphs: 14.43 kJ per mole of atoms
* total magnetic moment: 0.0 μB per formula unit

Structure (POSCAR):
```
ZrAsP2O
1.0
4.7310 0.0000 0.0000
0.0000 4.7310 0.0000
0.0000 0.0000 3.7588
Zr As P O
1 1 2 1
Direct
0.0000 0.0000 0.0000
0.5000 0.5000 0.5000
0.0000 0.5000 0.5000
0.5000 0.0000 0.5000
0.5000 0.5000 0.0000
```

[4]
Below is ZrAsP2O after structural relaxation, with properties calculated at the GGA-PBE level.

Values from the calculation:
* symmetry: P4/mmm, No. 123
* Fermi-level density of states: 3.02 states/eV/f.u.
* relative energy among the computed polymorphs: 0.00 kJ per mole of atoms
* total magnetic moment: 0.0 μB per formula unit

Structure (POSCAR):
```
ZrAsP2O
1.0
5.1955 0.0000 0.0000
0.0000 5.1955 0.0000
0.0000 0.0000 3.9435
Zr As P O
1 1 2 1
Direct
0.0000 0.0000 0.0000
0.5000 0.5000 0.5000
0.0000 0.5000 0.0000
0.5000 0.0000 0.0000
0.0000 0.0000 0.5000
```

[5]
Below is ZrAsPO2 after structural relaxation, with properties calculated at the GGA-PBE level.

Values from the calculation:
* symmetry: P4/mmm, No. 123
* Fermi-level density of states: 3.62 states/eV/f.u.
* relative energy among the computed polymorphs: 0.00 kJ per mole of atoms
* total magnetic moment: 0.5 μB per formula unit

Structure (POSCAR):
```
ZrAsPO2
1.0
4.0049 0.0000 0.0000
0.0000 4.0049 0.0000
0.0000 0.0000 5.7667
Zr As P O
1 1 1 2
Direct
0.0000 0.0000 0.0000
0.5000 0.5000 0.5000
0.0000 0.0000 0.5000
0.0000 0.5000 0.0000
0.5000 0.0000 0.0000
```

[6]
Below is ZrAsPO2 after structural relaxation, with properties calculated at the GGA-PBE level.

Values from the calculation:
* symmetry: P4/mmm, No. 123
* Fermi-level density of states: 2.06 states/eV/f.u.
* relative energy among the computed polymorphs: 44.54 kJ per mole of atoms
* total magnetic moment: 0.0 μB per formula unit

Structure (POSCAR):
```
ZrAsPO2
1.0
3.8751 0.0000 0.0000
0.0000 3.8751 0.0000
0.0000 0.0000 4.8496
Zr As P O
1 1 1 2
Direct
0.0000 0.0000 0.0000
0.5000 0.5000 0.5000
0.5000 0.5000 0.0000
0.0000 0.5000 0.5000
0.5000 0.0000 0.5000
```

Here are the calculated E_form (uncorrected) numbers, same order: -1.23, 1.21, -0.44, -1.19, -5.48, -3.17 (eV/f.u.).